Na3Dy2InO6 | PBE | relaxed

The structure in extended XYZ format:
```
12
Lattice="5.8467 -0.0017 0.0034 -2.9234 5.0633 0.0034 -0.9720 -1.6831 5.5962" Properties=species:S:1:pos:R:3 pbc="T T T"
Na 0.9756 1.6893 2.8015
O 2.9126 1.7148 4.4034
In 0.0000 0.0000 0.0000
Dy 2.9254 1.6855 0.0034
Na -1.9999 3.4078 2.8015
Dy -0.0021 3.3762 0.0034
Na 3.9512 -0.0292 2.8015
O 0.0297 3.3798 4.4034
O 1.9216 -0.0012 1.1996
O -0.0102 -0.0176 4.4057
O -0.9614 1.6638 1.1996
O 1.9614 3.3962 1.1973
```

Computed properties:
The value obtained for the formation energy (no corrections) is -2.3901 eV/atom. The density of states at the Fermi level is 0.00 states/eV/cell. As for the total magnetic moment: 0.00 μB per formula unit.